# 1
Density functional theory data (PBE-GGA) for an optimized crystal structure of BaLiBe4.

energy of formation from the pure elements = 0.53 eV per atom
crystal system = cubic
total magnetization = 0.00 μB per cell

Unit cell a=5.1459 b=5.1459 c=5.1459 alpha=60.00 beta=60.00 gamma=60.00
Closest atoms and distances in Å follow each position.
Atoms (fractional coordinates):
Ba: 0.0000 0.0000 0.0000  12 Be 3.06, 4 Li 3.15
Li: 0.2500 0.2500 0.2500  12 Be 2.99, 4 Ba 3.15
Be: 0.1713 0.6096 0.6096  3 Be 2.26
Be: 0.6096 0.1713 0.6096  3 Be 2.26
Be: 0.6096 0.6096 0.1713  3 Be 2.26
Be: 0.6096 0.6096 0.6096  3 Be 2.26



# 2
Density functional theory data (PBE-GGA) for an optimized crystal structure of Tb2Dy5Y5.

energy of formation from the pure elements = 0.02 eV per atom
crystal system = monoclinic
total magnetization = 0.00 μB per cell

Unit cell a=7.9529 b=7.9529 c=11.2455 alpha=115.10 beta=115.10 gamma=36.88
Closest atoms and distances in Å follow each position.
Atoms (fractional coordinates):
Tb: 0.0833 0.0833 0.2508  7 Dy 3.55-3.56, 5 Y 3.55-3.56
Tb: 0.9167 0.9167 0.7492  7 Dy 3.55-3.56, 5 Y 3.55-3.56
Dy: 0.3331 0.3331 0.5000  5 Y 3.55-3.56, 3 Tb 3.55, 4 Dy 3.55-3.57
Dy: 0.4174 0.4174 0.2502  2 Tb 3.55, 3 Dy 3.55-3.57, 7 Y 3.56-3.57
Dy: 0.5000 0.5000 0.0000  2 Dy 3.55, 6 Y 3.55-3.56, 4 Tb 3.56
Dy: 0.5826 0.5826 0.7498  2 Tb 3.55, 3 Dy 3.55-3.57, 7 Y 3.56-3.57
Dy: 0.6669 0.6669 0.5000  5 Y 3.55-3.56, 3 Tb 3.55, 4 Dy 3.55-3.57
Y: 0.0000 0.0000 0.5000  2 Tb 3.55, 2 Y 3.55, 8 Dy 3.56
Y: 0.1660 0.1660 0.9996  5 Dy 3.55-3.57, 2 Tb 3.55-3.56, 5 Y 3.56-3.57
Y: 0.2500 0.2500 0.7494  6 Dy 3.55-3.57, 4 Y 3.55-3.57, 2 Tb 3.56
Y: 0.7500 0.7500 0.2506  6 Dy 3.55-3.57, 4 Y 3.55-3.57, 2 Tb 3.56
Y: 0.8340 0.8340 0.0004  5 Dy 3.55-3.57, 2 Tb 3.55-3.56, 5 Y 3.56-3.57



# 3
Density functional theory data (PBE-GGA) for an optimized crystal structure of Li2Te2Rh.

energy above the most stable polymorph in this dataset = 0 meV per atom
formation energy from raw total energies = -2.27 eV per formula unit
crystal system = tetragonal
total magnetization = 0.00 μB per cell

Unit cell a=7.0874 b=7.0874 c=4.2921 alpha=90.00 beta=90.00 gamma=90.00
Closest atoms and distances in Å follow each position.
Atoms (fractional coordinates):
Li: 0.1521 0.3479 0.0000  6 Te 2.83-3.10, 1 Li 3.05
Li: 0.3479 0.8479 0.0000  6 Te 2.83-3.10, 1 Li 3.05
Li: 0.6521 0.1521 0.0000  6 Te 2.83-3.10, 1 Li 3.05
Li: 0.8479 0.6521 0.0000  6 Te 2.83-3.10, 1 Li 3.05
Te: 0.1633 0.6633 0.5000  2 Rh 2.65, 2 Li 2.83
Te: 0.3367 0.1633 0.5000  2 Rh 2.65, 2 Li 2.83
Te: 0.6633 0.8367 0.5000  2 Rh 2.65, 2 Li 2.83
Te: 0.8367 0.3367 0.5000  2 Rh 2.65, 2 Li 2.83
Rh: 0.0000 0.0000 0.5000  4 Te 2.65
Rh: 0.5000 0.5000 0.5000  4 Te 2.65



| no. | D(E_F) (states/eV/atom) | mass density (Mg/m³) |
| --- | --- | --- |
| 1 | 0.386 | 3.11 |
| 2 | 1.359 | 6.85 |
| 3 | 0.964 | 5.73 |